# 1
A geometry-optimized Zr2Al2Pt structure. Source: Alexandria, functional PBE-GGA. Values from VASP.

```
&SYSTEM
  ibrav = 0, nat = 10, ntyp = 3
/
ATOMIC_SPECIES
Zr 91.22 Zr.upf
Pt 195.08 Pt.upf
Al 26.98 Al.upf
CELL_PARAMETERS angstrom
-5.141 -2.420 3.196
3.793 -4.621 2.602
0.865 2.605 3.365
ATOMIC_POSITIONS crystal
Zr 0.169 0.669 0.500
Zr 0.669 0.831 0.500
Zr 0.831 0.331 0.500
Zr 0.331 0.169 0.500
Pt 0.000 0.000 0.000
Pt 0.500 0.500 0.000
Al 0.361 0.861 0.000
Al 0.861 0.639 0.000
Al 0.639 0.139 0.000
Al 0.139 0.361 0.000
```

## Properties
Calculated total energy in eV per atom: -6.916
Total moment in μB per cell: 0.000
Fermi-level density of states in states/eV/f.u.: 1.404


# 2
A geometry-optimized SrPtS structure. Source: Alexandria, functional PBE-GGA. Values from VASP.

```
&SYSTEM
  ibrav = 0, nat = 6, ntyp = 3
/
ATOMIC_SPECIES
Sr 87.62 Sr.upf
S 32.06 S.upf
Pt 195.08 Pt.upf
CELL_PARAMETERS angstrom
-4.663 1.807 2.094
-1.780 -6.530 1.673
2.205 1.762 3.390
ATOMIC_POSITIONS crystal
Sr 0.530 0.929 0.920
Sr 0.030 0.473 0.193
S 0.955 0.912 0.411
S 0.455 0.490 0.702
Pt 0.732 0.223 0.567
Pt 0.232 0.179 0.545
```

## Properties
ΔE_f (raw) in eV per formula unit: -3.6
Calculated total energy in eV per atom: -5.139
Total moment in μB per cell: 0.000
Fermi-level density of states in states/eV/f.u.: 0.190


# 3
A geometry-optimized LiInRe2 structure. Source: Alexandria, functional PBE-GGA. Values from VASP.

```
&SYSTEM
  ibrav = 0, nat = 4, ntyp = 3
/
ATOMIC_SPECIES
In 114.82 In.upf
Li 6.94 Li.upf
Re 186.21 Re.upf
CELL_PARAMETERS angstrom
-1.391 3.004 4.266
-3.254 -0.451 -4.285
-1.953 -1.579 1.063
ATOMIC_POSITIONS crystal
In 0.500 0.000 0.500
Li 0.000 0.500 0.500
Re 0.000 0.000 0.000
Re 0.500 0.500 0.000
```

## Properties
Calculated total energy in eV per atom: -6.956
Total moment in μB per cell: 0.000
Fermi-level density of states in states/eV/f.u.: 1.914